one:
VASP calculation (PBE-GGA) on a relaxed Hf3MoC crystal.

POSCAR file:
```
Hf3MoC
1.0
-3.303 -1.322 3.452
3.316 -3.106 1.984
1.634 3.631 2.954
Mo Hf C
1 3 1
Direct
0.000 0.000 0.000
0.000 0.500 0.000
0.000 0.000 0.500
0.500 0.000 0.000
0.500 0.500 0.500
```

## Properties
* SG: Pm-3m, No. 221

two:
VASP calculation (PBE-GGA) on a relaxed Hf3MoC crystal.

POSCAR file:
```
Hf3MoC
1.0
4.463 0.000 0.000
0.000 4.463 0.000
0.000 0.000 4.463
Mo Hf C
1 3 1
Direct
0.500 0.500 0.500
0.000 0.500 0.000
0.000 0.000 0.500
0.500 0.000 0.000
0.000 0.000 0.000
```

## Properties
* SG: Pm-3m, No. 221

Pick two: it beats the second-best structure by 2215 meV per atom.

one:
VASP calculation (PBE-GGA) on a relaxed HfMoC3 crystal.

POSCAR file:
```
HfMoC3
1.0
3.990 0.000 0.000
0.000 3.990 0.000
0.000 0.000 3.990
Mo Hf C
1 1 3
Direct
0.000 0.000 0.000
0.500 0.500 0.500
0.000 0.500 0.000
0.000 0.000 0.500
0.500 0.000 0.000
```

## Properties
* SG: Pm-3m, No. 221

two:
VASP calculation (PBE-GGA) on a relaxed HfMoC3 crystal.

POSCAR file:
```
HfMoC3
1.0
4.164 0.000 0.000
0.000 4.164 0.000
0.000 0.000 4.164
Mo Hf C
1 1 3
Direct
0.500 0.500 0.500
0.000 0.000 0.000
0.000 0.500 0.000
0.000 0.000 0.500
0.500 0.000 0.000
```

## Properties
* SG: Pm-3m, No. 221

Pick one: it beats the second-best structure by 992 meV per atom.

one:
VASP calculation (PBE-GGA) on a relaxed HfMo3C crystal.

POSCAR file:
```
HfMo3C
1.0
-1.318 -1.284 4.403
-4.382 -0.999 -1.603
1.353 -4.486 -0.903
Mo Hf C
3 1 1
Direct
0.000 0.500 0.000
0.000 0.000 0.500
0.500 0.000 0.000
0.000 0.000 0.000
0.500 0.500 0.500
```

## Properties
* SG: Pm-3m, No. 221

two:
VASP calculation (PBE-GGA) on a relaxed HfMo3C crystal.

POSCAR file:
```
HfMo3C
1.0
-1.709 3.876 -0.098
-3.536 -1.513 1.778
1.592 0.799 3.845
Mo Hf C
3 1 1
Direct
0.000 0.500 0.000
0.000 0.000 0.500
0.500 0.000 0.000
0.500 0.500 0.500
0.000 0.000 0.000
```

## Properties
* SG: Pm-3m, No. 221

Pick two: it beats the second-best structure by 3338 meV per atom.

one:
VASP calculation (PBE-GGA) on a relaxed Hf3C2N crystal.

POSCAR file:
```
Hf3C2N
1.0
-4.979 0.491 -2.673
1.551 -4.008 -3.625
-2.683 -1.383 4.743
Hf C N
6 4 2
Direct
0.475 0.157 0.820
0.975 0.180 0.843
0.460 0.487 0.487
0.960 0.513 0.513
0.975 0.843 0.180
0.475 0.820 0.157
0.720 0.167 0.501
0.220 0.499 0.833
0.220 0.833 0.499
0.720 0.501 0.167
0.720 0.833 0.833
0.220 0.167 0.167
```

## Properties
* SG: Cmc2_1, No. 36

two:
VASP calculation (PBE-GGA) on a relaxed Hf3C2N crystal.

POSCAR file:
```
Hf3C2N
1.0
-0.873 -2.235 2.215
0.897 -3.361 -3.038
4.602 2.582 2.012
Hf C N
3 2 1
Direct
0.500 0.500 0.000
0.168 0.168 0.336
0.832 0.832 0.664
0.167 0.667 0.334
0.833 0.333 0.666
0.500 0.000 0.000
```

## Properties
* SG: Immm, No. 71

Pick two: it beats the second-best structure by 477 meV per atom.

one:
VASP calculation (PBE-GGA) on a relaxed Hf2CN crystal.

POSCAR file:
```
Hf2CN
1.0
-1.521 5.367 0.710
-3.895 3.541 1.979
-1.176 4.086 3.680
C Hf N
1 2 1
Direct
0.000 0.000 0.000
0.749 0.749 0.749
0.251 0.251 0.251
0.500 0.500 0.500
```

## Properties
* SG: R-3m, No. 166

two:
VASP calculation (PBE-GGA) on a relaxed Hf2CN crystal.

POSCAR file:
```
Hf2CN
1.0
-1.304 -3.557 -1.414
-3.124 -1.858 1.772
-3.558 -0.236 -1.907
C Hf N
1 2 1
Direct
0.000 0.000 0.000
0.250 0.250 0.250
0.750 0.750 0.750
0.500 0.500 0.500
```

## Properties
* SG: Fm-3m, No. 225

Pick one: it beats the second-best structure by 1246 meV per atom.

one:
VASP calculation (PBE-GGA) on a relaxed Hf2CN crystal.

POSCAR file:
```
Hf2CN
1.0
-1.770 -2.641 -0.432
1.433 -2.839 -0.429
-0.171 -2.689 5.229
Hf C N
2 1 1
Direct
0.078 0.078 0.766
0.255 0.255 0.236
0.669 0.669 0.993
0.498 0.498 0.505
```

## Properties
* SG: R3m, No. 160

two:
VASP calculation (PBE-GGA) on a relaxed Hf2CN crystal.

POSCAR file:
```
Hf2CN
1.0
4.958 0.000 0.000
0.000 4.958 0.000
2.479 2.479 4.989
C Hf N
2 4 2
Direct
0.500 0.500 0.000
0.250 0.750 0.500
0.631 0.125 0.250
0.119 0.625 0.250
0.375 0.369 0.750
0.875 0.881 0.750
0.000 0.000 0.000
0.750 0.250 0.500
```

## Properties
* SG: I-42d, No. 122

Pick one: it beats the second-best structure by 189 meV per atom.

one:
VASP calculation (PBE-GGA) on a relaxed Hf2CN2 crystal.

POSCAR file:
```
Hf2CN2
1.0
3.620 0.000 0.000
0.000 3.620 0.000
1.810 1.810 5.351
C Hf N
1 2 2
Direct
0.000 0.000 0.000
0.346 0.346 0.308
0.654 0.654 0.692
0.750 0.250 0.500
0.250 0.750 0.500
```

## Properties
* SG: I4/mmm, No. 139

two:
VASP calculation (PBE-GGA) on a relaxed Hf2CN2 crystal.

POSCAR file:
```
Hf2CN2
1.0
6.143 0.000 0.000
0.000 6.143 0.000
0.000 0.000 3.021
C Hf N
2 4 4
Direct
0.000 0.000 0.000
0.500 0.500 0.000
0.327 0.827 0.000
0.827 0.673 0.000
0.673 0.173 0.000
0.173 0.327 0.000
0.142 0.642 0.500
0.642 0.858 0.500
0.858 0.358 0.500
0.358 0.142 0.500
```

## Properties
* SG: P4/mbm, No. 127

Pick two: it beats the second-best structure by 279 meV per atom.

one:
VASP calculation (PBE-GGA) on a relaxed Hf4CN2 crystal.

POSCAR file:
```
Hf4CN2
1.0
3.118 0.000 -0.853
-0.519 5.182 -1.897
0.025 -0.760 6.219
C Hf N
1 4 2
Direct
0.000 0.000 0.000
0.129 0.802 0.257
0.871 0.198 0.743
0.373 0.716 0.746
0.627 0.284 0.254
0.261 0.257 0.521
0.739 0.743 0.479
```

## Properties
* SG: C2/m, No. 12

two:
VASP calculation (PBE-GGA) on a relaxed Hf4CN2 crystal.

POSCAR file:
```
Hf4CN2
1.0
-3.602 -1.066 -2.174
2.399 -1.051 -3.460
-0.167 -6.534 -0.853
C Hf N
1 4 2
Direct
0.000 0.000 0.000
0.234 0.234 0.533
0.766 0.766 0.467
0.000 0.500 0.000
0.500 0.000 0.000
0.400 0.400 0.199
0.600 0.600 0.801
```

## Properties
* SG: I4/mmm, No. 139

Pick one: it beats the second-best structure by 877 meV per atom.

one:
VASP calculation (PBE-GGA) on a relaxed Hf4CN3 crystal.

POSCAR file:
```
Hf4CN3
1.0
-3.642 -7.733 6.407
-2.403 -9.583 4.062
-0.501 -8.504 6.445
C Hf N
1 4 3
Direct
0.000 0.000 0.000
0.874 0.874 0.874
0.126 0.126 0.126
0.375 0.375 0.375
0.625 0.625 0.625
0.249 0.249 0.249
0.500 0.500 0.500
0.751 0.751 0.751
```

## Properties
* SG: R-3m, No. 166

two:
VASP calculation (PBE-GGA) on a relaxed Hf4CN3 crystal.

POSCAR file:
```
Hf4CN3
1.0
-1.988 -0.385 4.090
-1.055 -4.344 -0.922
3.971 -1.347 1.803
Hf C N
4 1 3
Direct
0.500 0.000 0.000
0.000 0.500 0.000
0.000 0.000 0.500
0.500 0.500 0.500
0.000 0.000 0.000
0.000 0.500 0.500
0.500 0.000 0.500
0.500 0.500 0.000
```

## Properties
* SG: Pm-3m, No. 221

Pick two: it beats the second-best structure by 15 meV per atom.

one:
VASP calculation (PBE-GGA) on a relaxed Hf8C2N crystal.

POSCAR file:
```
Hf8C2N
1.0
-1.704 -1.510 5.045
6.214 1.633 0.645
1.571 6.246 0.457
Hf C N
8 2 1
Direct
0.746 0.115 0.632
0.254 0.368 0.885
0.757 0.125 0.125
0.243 0.875 0.875
0.746 0.632 0.115
0.254 0.885 0.368
0.261 0.375 0.375
0.739 0.625 0.625
0.510 0.253 0.253
0.490 0.747 0.747
0.000 0.000 0.000
```

## Properties
* SG: C2/m, No. 12

two:
VASP calculation (PBE-GGA) on a relaxed Hf8C2N crystal.

POSCAR file:
```
Hf8C2N
1.0
-0.865 -1.166 -4.691
6.224 -1.298 -0.770
0.785 -6.189 1.449
Hf C N
8 2 1
Direct
0.240 0.895 0.311
0.240 0.311 0.895
0.760 0.105 0.689
0.248 0.391 0.391
0.760 0.689 0.105
0.259 0.825 0.825
0.741 0.175 0.175
0.752 0.609 0.609
0.254 0.611 0.611
0.746 0.389 0.389
0.000 0.000 0.000
```

## Properties
* SG: C2/m, No. 12

Pick two: it beats the second-best structure by 10 meV per atom.

one:
VASP calculation (PBE-GGA) on a relaxed Hf3CN2 crystal.

POSCAR file:
```
Hf3CN2
1.0
5.454 0.000 0.000
0.000 6.362 -0.558
0.000 -2.154 6.012
Hf C N
6 2 4
Direct
0.750 0.090 0.910
0.750 0.132 0.404
0.250 0.404 0.132
0.750 0.596 0.868
0.250 0.868 0.596
0.250 0.910 0.090
0.250 0.235 0.765
0.750 0.765 0.235
0.000 0.203 0.203
0.500 0.203 0.203
0.000 0.797 0.797
0.500 0.797 0.797
```

## Properties
* SG: Cmcm, No. 63

two:
VASP calculation (PBE-GGA) on a relaxed Hf3CN2 crystal.

POSCAR file:
```
Hf3CN2
1.0
2.983 0.000 -1.245
-0.885 3.948 -2.121
0.572 0.476 5.567
Hf C N
3 1 2
Direct
0.500 0.500 0.000
0.164 0.164 0.328
0.836 0.836 0.672
0.500 0.000 0.000
0.166 0.666 0.333
0.834 0.334 0.667
```

## Properties
* SG: Immm, No. 71

Pick two: it beats the second-best structure by 1063 meV per atom.

one:
VASP calculation (PBE-GGA) on a relaxed Hf8CN2 crystal.

POSCAR file:
```
Hf8CN2
1.0
4.910 -0.088 0.165
0.097 6.080 1.866
-0.163 -0.040 6.358
Hf C N
8 1 2
Direct
0.759 0.896 0.314
0.241 0.686 0.104
0.742 0.823 0.823
0.258 0.177 0.177
0.759 0.314 0.896
0.241 0.104 0.686
0.249 0.609 0.609
0.751 0.391 0.391
0.000 0.000 0.000
0.747 0.609 0.609
0.253 0.391 0.391
```

## Properties
* SG: C2/m, No. 12

two:
VASP calculation (PBE-GGA) on a relaxed Hf8CN2 crystal.

POSCAR file:
```
Hf8CN2
1.0
5.223 -0.014 -0.011
0.036 6.740 1.002
0.036 2.780 6.221
Hf C N
8 1 2
Direct
0.250 0.319 0.828
0.750 0.172 0.681
0.254 0.843 0.843
0.746 0.157 0.157
0.250 0.828 0.319
0.750 0.681 0.172
0.749 0.653 0.653
0.251 0.347 0.347
0.000 0.000 0.000
0.655 0.816 0.816
0.345 0.184 0.184
```

## Properties
* SG: C2/m, No. 12

Pick one: it beats the second-best structure by 199 meV per atom.